No. 1
This record from OQMD via LeMat-Bulk describes crystalline LiLuSbIr at its relaxed geometry. The functional is PBE.

Lattice parameters (Å, degrees): 4.6487 4.6487 4.6487 60.00 60.00 60.00
Last column: nearest neighbours and their distance in Å.
Fractional positions:
Sb1 0.0000 0.0000 0.0000  4 Ir 2.85, 4 Li 2.85
Li1 0.7500 0.7500 0.7500  4 Lu 2.85, 4 Sb 2.85
Lu1 0.5000 0.5000 0.5000  4 Ir 2.85, 4 Li 2.85
Ir1 0.2500 0.2500 0.2500  4 Sb 2.85, 4 Lu 2.85

Space-group type: F-43m, No. 216
E above lowest polymorph, meV/atom: 0.0

No. 2
This record from OQMD via LeMat-Bulk describes crystalline PtI2F2 at its relaxed geometry. The functional is PBE.

Lattice parameters (Å, degrees): 6.5602 6.5602 6.5602 111.10 109.10 108.23
Last column: nearest neighbours and their distance in Å.
Fractional positions:
I1 0.0000 0.7514 0.7514  2 Pt 2.66
I2 0.0000 0.2486 0.2486  2 Pt 2.66
F1 0.0150 0.7523 0.2627  1 Pt 2.00
F2 0.9850 0.2477 0.7373  1 Pt 2.00
I3 0.5000 0.7466 0.2466  2 Pt 2.66
I4 0.5000 0.2534 0.7534  2 Pt 2.66
F3 0.5104 0.2477 0.2627  1 Pt 2.00
F4 0.4896 0.7523 0.7373  1 Pt 2.00
Pt1 0.7512 0.7512 0.0000  2 F 2.00
Pt2 0.2488 0.2488 0.0000  2 F 2.00

Space-group type: Immm, No. 71
Calculated total energy, eV/atom: -3.3314

No. 3
This record from OQMD via LeMat-Bulk describes crystalline ErTmCo at its relaxed geometry. The functional is PBE.

Lattice parameters (Å, degrees): 4.6159 4.6159 4.6159 60.00 60.00 60.00
Last column: nearest neighbours and their distance in Å.
Fractional positions:
Er1 0.7500 0.7500 0.7500  4 Tm 2.83
Tm1 0.0000 0.0000 0.0000  4 Co 2.83, 4 Er 2.83
Co1 0.2500 0.2500 0.2500  4 Tm 2.83

Space-group type: F-43m, No. 216
Energy relative to the elements, eV/atom: 0.8150

No. 4
This record from OQMD via LeMat-Bulk describes crystalline Gd2Dy3YFeTe2 at its relaxed geometry. The functional is PBE.

Lattice parameters (Å, degrees): 3.9675 8.3405 8.3405 119.92 90.00 90.00
Last column: nearest neighbours and their distance in Å.
Fractional positions:
Y1 0.0000 0.6034 0.6034  4 Te 3.23, 1 Fe 3.29, 4 Dy 3.50
Te1 0.5000 0.3346 0.6662  2 Y 3.23, 4 Gd 3.24, 3 Dy 3.27-3.28
Dy1 0.5000 0.0004 0.7661  2 Fe 2.78
Gd1 0.0000 0.3987 0.0000  4 Te 3.24, 1 Fe 3.33, 4 Dy 3.51
Fe1 0.0000 0.9979 0.9979  6 Dy 2.78-2.79
Te2 0.5000 0.6662 0.3346  2 Y 3.23, 4 Gd 3.24, 3 Dy 3.27-3.28
Dy2 0.5000 0.7661 0.0004  2 Fe 2.78
Dy3 0.5000 0.2327 0.2327  2 Fe 2.79
Gd2 0.0000 0.0000 0.3987  4 Te 3.24, 1 Fe 3.33, 4 Dy 3.51

Space-group type: Amm2, No. 38
Calculated total energy, eV/atom: -5.5386

No. 5
This record from OQMD via LeMat-Bulk describes crystalline Dy2Er2AlNi2Ge4 at its relaxed geometry. The functional is PBE.

Lattice parameters (Å, degrees): 7.8908 7.8908 6.9386 107.51 107.51 30.99
Last column: nearest neighbours and their distance in Å.
Fractional positions:
Ge1 0.9357 0.9357 0.3333  1 Ni 2.39, 1 Ge 2.52
Ge2 0.7993 0.7993 0.7335  3 Ni 2.43-2.52
Dy1 0.3462 0.3462 0.0617  5 Ge 2.87-3.02, 1 Ni 2.97
Ge3 0.2007 0.2007 0.2665  3 Ni 2.43-2.52
Er1 0.4095 0.4095 0.6112  6 Ge 2.97-3.09, 3 Ni 2.99-3.02
Ge4 0.0643 0.0643 0.6667  1 Ni 2.39, 1 Ge 2.52
Er2 0.5905 0.5905 0.3888  6 Ge 2.97-3.09, 3 Ni 2.99-3.02
Ni1 0.2175 0.2175 0.6399  4 Ge 2.39-2.52
Al1 0.0000 0.0000 0.0000  4 Ge 2.78-3.04
Dy2 0.6538 0.6538 0.9383  5 Ge 2.87-3.02, 1 Ni 2.97
Ni2 0.7825 0.7825 0.3601  4 Ge 2.39-2.52

Space-group type: C2/m, No. 12
Calculated total energy, eV/atom: -5.4813

No. 6
This record from OQMD via LeMat-Bulk describes crystalline CuPbW2 at its relaxed geometry. The functional is PBE.

Lattice parameters (Å, degrees): 4.5932 4.5932 4.5932 60.00 60.00 60.00
Last column: nearest neighbours and their distance in Å.
Fractional positions:
Pb1 0.5000 0.5000 0.5000  4 W 2.81, 4 Cu 2.81
Cu1 0.2500 0.2500 0.2500  4 W 2.81, 4 Pb 2.81
W1 0.0000 0.0000 0.0000  4 W 2.81, 4 Cu 2.81
W2 0.7500 0.7500 0.7500  4 W 2.81, 4 Pb 2.81

Space-group type: F-43m, No. 216
Calculated total energy, eV/atom: -7.4407

No. 7
This record from OQMD via LeMat-Bulk describes crystalline GaTcB at its relaxed geometry. The functional is PBE.

Lattice parameters (Å, degrees): 3.9169 3.9169 3.9169 60.00 60.00 60.00
Last column: nearest neighbours and their distance in Å.
Fractional positions:
Ga1 0.7500 0.7500 0.7500  4 Tc 2.40
Tc1 0.0000 0.0000 0.0000  4 Ga 2.40, 4 B 2.40
B1 0.2500 0.2500 0.2500  4 Tc 2.40

Space-group type: F-43m, No. 216
E above lowest polymorph, meV/atom: 639.4

No. 8
This record from OQMD via LeMat-Bulk describes crystalline Ho3In3Cu2Pd at its relaxed geometry. The functional is PBE.

Lattice parameters (Å, degrees): 7.5094 7.5094 3.9260 90.00 90.00 120.00
Last column: nearest neighbours and their distance in Å.
Fractional positions:
In1 0.2611 0.0000 0.0000  2 Pd 2.77, 2 Cu 2.81
Cu1 0.3333 0.6667 0.0000  3 In 2.81, 6 Ho 3.00
Ho1 0.5905 0.0000 0.5000  4 Cu 3.00, 1 Pd 3.08, 6 In 3.16-3.34
Pd1 0.0000 0.0000 0.5000  6 In 2.77, 3 Ho 3.08
Ho2 0.0000 0.5905 0.5000  4 Cu 3.00, 1 Pd 3.08, 6 In 3.16-3.34
Cu2 0.6667 0.3333 0.0000  3 In 2.81, 6 Ho 3.00
In2 0.7389 0.7389 0.0000  2 Pd 2.77, 2 Cu 2.81
Ho3 0.4095 0.4095 0.5000  4 Cu 3.00, 1 Pd 3.08, 6 In 3.16-3.34
In3 0.0000 0.2611 0.0000  2 Pd 2.77, 2 Cu 2.81

Space-group type: P-62m, No. 189
Calculated total energy, eV/atom: -4.3752

No. 9
This record from OQMD via LeMat-Bulk describes crystalline GdSnAuSe3 at its relaxed geometry. The functional is PBE.

Lattice parameters (Å, degrees): 13.6232 4.0849 11.0549 90.00 90.00 90.00
Last column: nearest neighbours and their distance in Å.
Fractional positions:
Gd1 0.9896 0.2500 0.3258  6 Se 2.91-2.93
Se1 0.3740 0.7500 0.6231  3 Au 2.76-2.90, 1 Gd 2.91, 2 Sn 3.08
Se2 0.6260 0.2500 0.3769  3 Au 2.76-2.90, 1 Gd 2.91, 2 Sn 3.08
Se3 0.3482 0.7500 0.2486  1 Au 2.61
Gd2 0.0104 0.7500 0.6742  6 Se 2.91-2.93
Au1 0.5080 0.2500 0.5954  4 Se 2.61-2.90
Se4 0.8740 0.7500 0.8769  3 Au 2.76-2.90, 1 Gd 2.91, 2 Sn 3.08
Se5 0.1518 0.2500 0.7486  1 Au 2.61
Gd3 0.4896 0.2500 0.1742  6 Se 2.91-2.93
Se6 0.6108 0.7500 0.0589  3 Gd 2.92, 2 Sn 3.08
Se7 0.8482 0.7500 0.2514  1 Au 2.61
Au2 0.4920 0.7500 0.4046  4 Se 2.61-2.90
Se8 0.1260 0.2500 0.1231  3 Au 2.76-2.90, 1 Gd 2.91, 2 Sn 3.08
Se9 0.6518 0.2500 0.7514  1 Au 2.61
Se10 0.8892 0.2500 0.5589  3 Gd 2.92, 2 Sn 3.08
Sn1 0.7801 0.2500 0.0504  6 Se 3.08-3.16
Au3 0.9920 0.7500 0.0954  4 Se 2.61-2.90
Sn2 0.2199 0.7500 0.9496  6 Se 3.08-3.16
Gd4 0.5104 0.7500 0.8258  6 Se 2.91-2.93
Se11 0.3892 0.2500 0.9411  3 Gd 2.92, 2 Sn 3.08
Au4 0.0080 0.2500 0.9046  4 Se 2.61-2.90
Sn3 0.7199 0.7500 0.5504  6 Se 3.08-3.16
Sn4 0.2801 0.2500 0.4496  6 Se 3.08-3.16
Se12 0.1108 0.7500 0.4411  3 Gd 2.92, 2 Sn 3.08

Space-group type: Pnma, No. 62
E above lowest polymorph, meV/atom: 25.1

No. 10
This record from OQMD via LeMat-Bulk describes crystalline Tl2CdInCl6 at its relaxed geometry. The functional is PBE.

Lattice parameters (Å, degrees): 7.3344 7.4625 12.7798 90.00 124.76 90.00
Last column: nearest neighbours and their distance in Å.
Fractional positions:
Cl1 0.1718 0.9885 0.7478  1 Cd 2.66, 1 In 2.71
In1 0.5000 0.5000 0.5000  6 Cl 2.71
Tl1 0.7346 0.0606 0.7497  8 Cl 3.26-3.57
Cl2 0.7636 0.7049 0.4630  1 Cd 2.67, 1 In 2.71
Tl2 0.2654 0.5606 0.7503  8 Cl 3.26-3.57
Cl3 0.6662 0.2002 0.4631  1 Cd 2.67, 1 In 2.71
Cl4 0.3338 0.7998 0.5369  1 Cd 2.67, 1 In 2.71
Cl5 0.2364 0.2951 0.5370  1 Cd 2.67, 1 In 2.71
Cl6 0.2364 0.2049 0.0370  1 Cd 2.67, 1 In 2.71
Tl3 0.7346 0.4394 0.2497  8 Cl 3.26-3.57
Cl7 0.6662 0.2998 0.9631  1 Cd 2.67, 1 In 2.71
Cl8 0.8282 0.4885 0.7522  1 Cd 2.66, 1 In 2.71
Cl9 0.7636 0.7951 0.9630  1 Cd 2.67, 1 In 2.71
Cd1 0.0000 0.5000 0.0000  6 Cl 2.66-2.67
Cd2 0.0000 0.0000 0.5000  6 Cl 2.66-2.67
Cl10 0.3338 0.7002 0.0369  1 Cd 2.67, 1 In 2.71
Cl11 0.8282 0.0116 0.2522  1 Cd 2.66, 1 In 2.71
Cl12 0.1719 0.5115 0.2478  1 Cd 2.66, 1 In 2.71
In2 0.5000 0.0000 0.0000  6 Cl 2.71
Tl4 0.2654 0.9394 0.2503  8 Cl 3.26-3.57

Space-group type: P2_1/c, No. 14
Calculated total energy, eV/atom: -2.9432

No. 11
This record from OQMD via LeMat-Bulk describes crystalline Sr2Ge5Pt3 at its relaxed geometry. The functional is PBE.

Lattice parameters (Å, degrees): 8.6695 8.6695 8.6695 105.76 89.63 137.29
Last column: nearest neighbours and their distance in Å.
Fractional positions:
Ge1 0.7500 0.2500 0.5000  4 Pt 2.57
Ge2 0.6064 0.6501 0.2565  3 Pt 2.51-2.58, 2 Ge 2.72
Ge3 0.2500 0.7500 0.5000  4 Pt 2.57
Pt1 0.8654 0.3873 0.2527  5 Ge 2.51-2.57
Ge4 0.9836 0.7500 0.2336  2 Pt 2.55, 2 Ge 2.72
Sr1 0.1311 0.2642 0.3953  10 Ge 3.16-3.42, 4 Pt 3.29-3.51
Pt2 0.3654 0.1127 0.4781  5 Ge 2.51-2.57
Ge5 0.5164 0.7500 0.7664  2 Pt 2.55, 2 Ge 2.72
Pt3 0.6346 0.8873 0.5219  5 Ge 2.51-2.57
Sr2 0.6311 0.2358 0.8670  10 Ge 3.16-3.42, 4 Pt 3.29-3.51
Pt4 0.1346 0.6127 0.7473  5 Ge 2.51-2.57
Ge6 0.8936 0.1501 0.0437  3 Pt 2.51-2.58, 2 Ge 2.72
Pt5 0.7500 0.7500 0.0000  6 Ge 2.58-2.87
Ge7 0.0164 0.2500 0.7664  2 Pt 2.55, 2 Ge 2.72
Sr3 0.3689 0.7642 0.1330  10 Ge 3.16-3.42, 4 Pt 3.29-3.51
Ge8 0.4836 0.2500 0.2336  2 Pt 2.55, 2 Ge 2.72
Ge9 0.1064 0.8499 0.9563  3 Pt 2.51-2.58, 2 Ge 2.72
Ge10 0.3936 0.3499 0.7435  3 Pt 2.51-2.58, 2 Ge 2.72
Sr4 0.8689 0.7358 0.6047  10 Ge 3.16-3.42, 4 Pt 3.29-3.51
Pt6 0.2500 0.2500 0.0000  6 Ge 2.58-2.87

Space-group type: Ibam, No. 72
Calculated total energy, eV/atom: -5.1816